# Zr2VAs, relaxed, DFT PBE
# Energy of formation from the pure elements, eV/atom: 0.080
# Electronic total energy, eV per formula unit: -30.5
# Total magnetic moment, μB per cell: 9.87
data_Zr2VAs
_symmetry_space_group_name_H-M 'I -4 2 d'
_symmetry_Int_Tables_number 122
_symmetry_space_group_name_Hall 'I -4 2bw'
_cell_length_a 7.494
_cell_length_b 7.494
_cell_length_c 5.795
_cell_angle_alpha 90.00
_cell_angle_beta 90.00
_cell_angle_gamma 90.00
loop_
_atom_site_label
_atom_site_type_symbol
_atom_site_fract_x
_atom_site_fract_y
_atom_site_fract_z
Zr1 Zr 0.236 0.750 0.125
V1 V 0.000 0.000 0.500
As1 As 0.000 0.000 0.000